Material: SmZn9Rh2
Method: DFT, PBE-GGA
State: relaxed

Offset from the most stable computed form, eV per formula unit: 0.00
Density of states at the Fermi level, states/eV/f.u.: 6.7
Formation energy, eV per atom: -0.33
Total magnetization, μB/f.u.: 0.0

Geometry as POSCAR:
```
SmZn9Rh2
1.0
-5.959 -3.349 1.314
-3.763 -3.123 -6.591
0.781 -8.028 1.519
Zn Sm Rh
18 2 4
Direct
0.435 0.828 0.415
0.678 0.172 0.585
0.737 0.828 0.585
0.151 0.415 0.172
0.013 0.672 0.915
0.315 0.672 0.085
0.599 0.085 0.328
0.000 0.000 0.000
0.072 0.915 0.328
0.599 0.328 0.085
0.151 0.172 0.415
0.737 0.585 0.828
0.315 0.085 0.672
0.072 0.328 0.915
0.435 0.415 0.828
0.013 0.915 0.672
0.678 0.585 0.172
0.750 0.500 0.500
0.250 0.500 0.500
0.500 0.000 0.000
0.375 0.750 0.750
0.875 0.250 0.750
0.875 0.250 0.250
0.875 0.750 0.250
```